Computed, not measured: an optimized crystal structure of KUZn2Br8 at the GGA-PBE level of DFT.

Cell lengths 6.9120, 6.9120, 11.0242 Å; angles 71.73, 71.73, 60.00 degrees
Last column: nearest neighbours and their distance in Å.
Fractional coordinates of all 12 atoms:
Br 0.6072 0.2881 0.1687  1 Zn 2.48
Br 0.9360 0.6072 0.1687  1 Zn 2.48
Br 0.1724 0.1724 0.4828  1 Zn 2.35
Br 0.7119 0.0640 0.8313  1 Zn 2.48
Br 0.0640 0.3928 0.8313  1 Zn 2.48
Br 0.8276 0.8276 0.5172  1 Zn 2.35
Br 0.3928 0.7119 0.8313  1 Zn 2.48
Br 0.2881 0.9360 0.1687  1 Zn 2.48
K 0.5000 0.5000 0.5000  12 Br 3.99-4.08
Zn 0.2486 0.2486 0.2543  4 Br 2.35-2.48
Zn 0.7514 0.7514 0.7457  4 Br 2.35-2.48
U 0.0000 0.0000 0.0000  6 Br 2.92

Output
symmetry: R-3


Computed, not measured: an optimized crystal structure of K3VBr6 at the GGA-PBE level of DFT.

Cell lengths 9.0636, 9.0636, 9.0636 Å; angles 90.60, 90.60, 90.60 degrees
Last column: nearest neighbours and their distance in Å.
Fractional coordinates of all 20 atoms:
Br 0.5619 0.4509 0.7730  1 V 2.58
Br 0.5491 0.2270 0.4381  1 V 2.58
Br 0.9388 0.2659 0.0809  1 V 2.58
Br 0.2270 0.4381 0.5491  1 V 2.58
Br 0.4381 0.5491 0.2270  1 V 2.58
Br 0.4509 0.7730 0.5619  1 V 2.58
Br 0.7730 0.5619 0.4509  1 V 2.58
Br 0.9191 0.0612 0.7341  1 V 2.58
Br 0.2659 0.0809 0.9388  1 V 2.58
Br 0.0809 0.9388 0.2659  1 V 2.58
Br 0.0612 0.7341 0.9191  1 V 2.58
Br 0.7341 0.9191 0.0612  1 V 2.58
V 0.0000 0.0000 0.0000  6 Br 2.58
V 0.5000 0.5000 0.5000  6 Br 2.58
K 0.7539 0.9242 0.4314  6 Br 3.29-3.36
K 0.9242 0.4314 0.7539  6 Br 3.29-3.36
K 0.0758 0.5686 0.2461  6 Br 3.29-3.36
K 0.2461 0.0758 0.5686  6 Br 3.29-3.36
K 0.5686 0.2461 0.0758  6 Br 3.29-3.36
K 0.4314 0.7539 0.9242  6 Br 3.29-3.36

Output
symmetry: R-3


Computed, not measured: an optimized crystal structure of KV2Br6 at the GGA-PBE level of DFT.

Cell lengths 7.3737, 6.7586, 6.7586 Å; angles 120.00, 90.00, 90.00 degrees
Last column: nearest neighbours and their distance in Å.
Fractional coordinates of all 9 atoms:
K 0.0000 0.0000 0.0000  6 Br 3.35
Br 0.3002 0.0000 0.6282  2 V 2.59
Br 0.3002 0.6282 0.0000  2 V 2.59
Br 0.3002 0.3718 0.3718  2 V 2.59
Br 0.6998 0.3718 0.0000  2 V 2.59
Br 0.6998 0.0000 0.3718  2 V 2.59
Br 0.6998 0.6282 0.6282  2 V 2.59
V 0.5000 0.6667 0.3333  6 Br 2.59
V 0.5000 0.3333 0.6667  6 Br 2.59

Output
symmetry: P-31m


Computed, not measured: an optimized crystal structure of KVBr4 at the GGA-PBE level of DFT.

Cell lengths 5.1390, 7.3400, 10.7866 Å; angles 90.00, 103.78, 90.00 degrees
Last column: nearest neighbours and their distance in Å.
Fractional coordinates of all 12 atoms:
Br 0.8268 0.0030 0.6535  1 V 2.41
Br 0.4221 0.2500 0.8442  2 V 2.60
Br 0.0000 0.0000 0.0000  2 V 2.75
Br 0.1732 0.9970 0.3465  1 V 2.41
Br 0.0000 0.5000 0.0000  2 V 2.75
Br 0.8268 0.4970 0.6535  1 V 2.41
Br 0.1732 0.5030 0.3465  1 V 2.41
Br 0.5779 0.7500 0.1558  2 V 2.60
K 0.5958 0.2500 0.1916  11 Br 3.56-3.74
K 0.4042 0.7500 0.8084  11 Br 3.56-3.74
V 0.0975 0.7500 0.1949  4 Br 2.41-2.60
V 0.9025 0.2500 0.8051  4 Br 2.41-2.60

Output
symmetry: Cmcm


Computed, not measured: an optimized crystal structure of K4VBr6 at the GGA-PBE level of DFT.

Cell lengths 9.0031, 9.0031, 9.3843 Å; angles 90.00, 90.00, 90.00 degrees
Last column: nearest neighbours and their distance in Å.
Fractional coordinates of all 22 atoms:
Br 0.7105 0.0823 0.5000  1 V 2.71
Br 0.9177 0.7105 0.5000  1 V 2.71
Br 0.0000 0.0000 0.2173  1 V 2.65
Br 0.2895 0.9177 0.5000  1 V 2.71
Br 0.2105 0.4177 0.0000  1 V 2.71
Br 0.5000 0.5000 0.7173  1 V 2.65
Br 0.5823 0.2105 0.0000  1 V 2.71
Br 0.4177 0.7895 0.0000  1 V 2.71
Br 0.7895 0.5823 0.0000  1 V 2.71
Br 0.5000 0.5000 0.2827  1 V 2.65
Br 0.0000 0.0000 0.7827  1 V 2.65
Br 0.0823 0.2895 0.5000  1 V 2.71
K 0.3213 0.1787 0.7500  6 Br 3.32-3.34
K 0.6787 0.8213 0.2500  6 Br 3.32-3.34
K 0.6787 0.8213 0.7500  6 Br 3.32-3.34
K 0.3213 0.1787 0.2500  6 Br 3.32-3.34
K 0.8213 0.3213 0.7500  6 Br 3.32-3.34
K 0.1787 0.6787 0.7500  6 Br 3.32-3.34
K 0.8213 0.3213 0.2500  6 Br 3.32-3.34
K 0.1787 0.6787 0.2500  6 Br 3.32-3.34
V 0.0000 0.0000 0.5000  6 Br 2.65-2.71
V 0.5000 0.5000 0.0000  6 Br 2.65-2.71

Output
symmetry: P4/mnc


Computed, not measured: an optimized crystal structure of KV3Br at the GGA-PBE level of DFT.

Cell lengths 4.4818, 4.4818, 4.4818 Å; angles 90.00, 90.00, 90.00 degrees
Last column: nearest neighbours and their distance in Å.
Fractional coordinates of all 5 atoms:
V 0.0000 0.0000 0.5000  2 K 2.24
V 0.5000 0.0000 0.0000  2 K 2.24
V 0.0000 0.5000 0.0000  2 K 2.24
Br 0.5000 0.5000 0.5000  12 V 3.17
K 0.0000 0.0000 0.0000  6 V 2.24

Output
symmetry: Pm-3m


Computed, not measured: an optimized crystal structure of K6VBr8 at the GGA-PBE level of DFT.

Cell lengths 9.3001, 9.3001, 9.3001 Å; angles 60.00, 60.00, 60.00 degrees
Last column: nearest neighbours and their distance in Å.
Fractional coordinates of all 15 atoms:
Br 0.2060 0.7940 0.2060  1 V 2.71
Br 0.7940 0.7940 0.2060  1 V 2.71
Br 0.7500 0.7500 0.7500  6 K 3.29
Br 0.7940 0.2060 0.2060  1 V 2.71
Br 0.2060 0.7940 0.7940  1 V 2.71
Br 0.7940 0.2060 0.7940  1 V 2.71
Br 0.2500 0.2500 0.2500  6 K 3.29
Br 0.2060 0.2060 0.7940  1 V 2.71
K 0.5000 0.0000 0.5000  6 Br 3.29-3.34
K 0.5000 0.5000 0.0000  6 Br 3.29-3.34
K 0.5000 0.0000 0.0000  6 Br 3.29-3.34
K 0.0000 0.5000 0.0000  6 Br 3.29-3.34
K 0.0000 0.5000 0.5000  6 Br 3.29-3.34
K 0.0000 0.0000 0.5000  6 Br 3.29-3.34
V 0.0000 0.0000 0.0000  6 Br 2.71

Output
symmetry: Fm-3m


Computed, not measured: an optimized crystal structure of K3VBr6 at the GGA-PBE level of DFT.

Cell lengths 7.3936, 7.3936, 8.4109 Å; angles 110.76, 110.76, 101.17 degrees
Last column: nearest neighbours and their distance in Å.
Fractional coordinates of all 10 atoms:
Br 0.0652 0.0652 0.7410  1 V 2.57
Br 0.7770 0.2230 0.0000  1 V 2.55
Br 0.3243 0.3243 0.2590  1 V 2.57
Br 0.2230 0.7770 0.0000  1 V 2.55
Br 0.9348 0.9348 0.2590  1 V 2.57
Br 0.6757 0.6757 0.7410  1 V 2.57
V 0.0000 0.0000 0.0000  6 Br 2.55-2.57
K 0.5000 0.5000 0.0000  6 Br 3.17-3.39
K 0.2500 0.7500 0.5000  4 Br 3.35
K 0.7500 0.2500 0.5000  4 Br 3.35

Output
symmetry: Fmmm


Number 1: ΔE_f (raw) -1113 meV/atom, total energy -0.25521 Ry/atom. Number 2: ΔE_f (raw) -1376 meV/atom, total energy -0.26615 Ry/atom. Number 3: ΔE_f (raw) -1067 meV/atom, total energy -0.31828 Ry/atom. Number 4: ΔE_f (raw) -1066 meV/atom, total energy -0.28544 Ry/atom. Number 5: ΔE_f (raw) -1471 meV/atom, total energy -0.26541 Ry/atom. Number 6: ΔE_f (raw) 2766 meV/atom, total energy -0.23956 Ry/atom. Number 7: ΔE_f (raw) -1548 meV/atom, total energy -0.25628 Ry/atom. Number 8: ΔE_f (raw) -1318 meV/atom, total energy -0.26185 Ry/atom.